# TmMg6Cd12, relaxed, DFT GGA-PBE
# calculated formation energy: -0.10 eV per atom
# volume: 422.41 Å³/f.u.
data_TmMg6Cd12
_cell_length_a 8.324
_cell_length_b 8.324
_cell_length_c 8.324
_cell_angle_alpha 110.71
_cell_angle_beta 110.71
_cell_angle_gamma 110.71
_symmetry_space_group_name_H-M 'P 1'
_symmetry_Int_Tables_number 1
_symmetry_space_group_name_Hall 'P 1'
loop_
_atom_site_label
_atom_site_type_symbol
_atom_site_fract_x
_atom_site_fract_y
_atom_site_fract_z
_atom_site_occupancy
Tm1 Tm 0.000 0.000 0.000 1
Mg1 Mg 0.055 0.356 0.565 1
Mg2 Mg 0.356 0.565 0.055 1
Mg3 Mg 0.435 0.945 0.644 1
Mg4 Mg 0.565 0.055 0.356 1
Mg5 Mg 0.644 0.435 0.945 1
Mg6 Mg 0.945 0.644 0.435 1
Cd1 Cd 0.112 0.742 0.176 1
Cd2 Cd 0.176 0.112 0.742 1
Cd3 Cd 0.205 0.479 0.319 1
Cd4 Cd 0.258 0.824 0.888 1
Cd5 Cd 0.319 0.205 0.479 1
Cd6 Cd 0.479 0.319 0.205 1
Cd7 Cd 0.521 0.681 0.795 1
Cd8 Cd 0.681 0.795 0.521 1
Cd9 Cd 0.742 0.176 0.112 1
Cd10 Cd 0.795 0.521 0.681 1
Cd11 Cd 0.824 0.888 0.258 1
Cd12 Cd 0.888 0.258 0.824 1

# Tm6MgCd, relaxed, DFT GGA-PBE
# excess energy over the best structure of this formula in the dataset: 0.116 eV/atom
# calculated formation energy: 0.03 eV per atom
# volume: 225.73 Å³/f.u.
data_Tm6MgCd
_cell_length_a 6.084
_cell_length_b 6.087
_cell_length_c 6.096
_cell_angle_alpha 89.78
_cell_angle_beta 89.96
_cell_angle_gamma 89.69
_symmetry_space_group_name_H-M 'P 1'
_symmetry_Int_Tables_number 1
_symmetry_space_group_name_Hall 'P 1'
loop_
_atom_site_label
_atom_site_type_symbol
_atom_site_fract_x
_atom_site_fract_y
_atom_site_fract_z
_atom_site_occupancy
Tm1 Tm 0.016 0.483 0.249 1
Tm2 Tm 0.248 0.985 0.521 1
Tm3 Tm 0.482 0.249 0.984 1
Tm4 Tm 0.518 0.751 0.016 1
Tm5 Tm 0.752 0.015 0.479 1
Tm6 Tm 0.984 0.517 0.751 1
Mg1 Mg 0.500 0.500 0.500 1
Cd1 Cd 0.000 0.000 0.000 1

# Tm4MgCd, relaxed, DFT GGA-PBE
# excess energy over the best structure of this formula in the dataset: 0.000 eV/atom
# calculated formation energy: -0.11 eV per atom
# volume: 165.38 Å³/f.u.
data_Tm4MgCd
_cell_length_a 3.538
_cell_length_b 3.538
_cell_length_c 13.215
_cell_angle_alpha 90.00
_cell_angle_beta 90.00
_cell_angle_gamma 90.00
_symmetry_space_group_name_H-M 'P 1'
_symmetry_Int_Tables_number 1
_symmetry_space_group_name_Hall 'P 1'
loop_
_atom_site_label
_atom_site_type_symbol
_atom_site_fract_x
_atom_site_fract_y
_atom_site_fract_z
_atom_site_occupancy
Tm1 Tm 0.000 0.000 0.156 1
Tm2 Tm 0.000 0.000 0.844 1
Tm3 Tm 0.500 0.500 0.337 1
Tm4 Tm 0.500 0.500 0.663 1
Mg1 Mg 0.000 0.000 0.500 1
Cd1 Cd 0.500 0.500 0.000 1

# Tm3Mg2Cd2, relaxed, DFT GGA-PBE
# calculated formation energy: -0.12 eV per atom
# volume: 177.93 Å³/f.u.
data_Tm3Mg2Cd2
_cell_length_a 4.978
_cell_length_b 5.930
_cell_length_c 6.643
_cell_angle_alpha 87.53
_cell_angle_beta 89.90
_cell_angle_gamma 65.28
_symmetry_space_group_name_H-M 'P 1'
_symmetry_Int_Tables_number 1
_symmetry_space_group_name_Hall 'P 1'
loop_
_atom_site_label
_atom_site_type_symbol
_atom_site_fract_x
_atom_site_fract_y
_atom_site_fract_z
_atom_site_occupancy
Tm1 Tm 0.000 0.000 0.000 1
Tm2 Tm 0.394 0.212 0.301 1
Tm3 Tm 0.606 0.788 0.699 1
Mg1 Mg 0.302 0.395 0.819 1
Mg2 Mg 0.698 0.605 0.181 1
Cd1 Cd 0.124 0.754 0.429 1
Cd2 Cd 0.876 0.246 0.571 1

# Tm5Mg2Cd2, relaxed, DFT GGA-PBE
# calculated formation energy: 0.00 eV per atom
# volume: 249.15 Å³/f.u.
data_Tm5Mg2Cd2
_cell_length_a 9.448
_cell_length_b 9.448
_cell_length_c 7.549
_cell_angle_alpha 90.00
_cell_angle_beta 90.00
_cell_angle_gamma 47.68
_symmetry_space_group_name_H-M 'P 1'
_symmetry_Int_Tables_number 1
_symmetry_space_group_name_Hall 'P 1'
loop_
_atom_site_label
_atom_site_type_symbol
_atom_site_fract_x
_atom_site_fract_y
_atom_site_fract_z
_atom_site_occupancy
Tm1 Tm 0.000 0.000 0.000 1
Tm2 Tm 0.044 0.674 0.678 1
Tm3 Tm 0.174 0.544 0.178 1
Tm4 Tm 0.326 0.956 0.678 1
Tm5 Tm 0.456 0.826 0.178 1
Tm6 Tm 0.500 0.500 0.500 1
Tm7 Tm 0.544 0.174 0.822 1
Tm8 Tm 0.674 0.044 0.322 1
Tm9 Tm 0.826 0.456 0.822 1
Tm10 Tm 0.956 0.326 0.322 1
Mg1 Mg 0.126 0.874 0.376 1
Mg2 Mg 0.374 0.626 0.876 1
Mg3 Mg 0.626 0.374 0.124 1
Mg4 Mg 0.874 0.126 0.624 1
Cd1 Cd 0.220 0.220 0.000 1
Cd2 Cd 0.280 0.280 0.500 1
Cd3 Cd 0.720 0.720 0.500 1
Cd4 Cd 0.780 0.780 0.000 1

# Tm5MgCd2, relaxed, DFT GGA-PBE
# calculated formation energy: -0.07 eV per atom
# volume: 215.97 Å³/f.u.
data_Tm5MgCd2
_cell_length_a 6.035
_cell_length_b 6.035
_cell_length_c 16.189
_cell_angle_alpha 90.00
_cell_angle_beta 90.00
_cell_angle_gamma 132.91
_symmetry_space_group_name_H-M 'P 1'
_symmetry_Int_Tables_number 1
_symmetry_space_group_name_Hall 'P 1'
loop_
_atom_site_label
_atom_site_type_symbol
_atom_site_fract_x
_atom_site_fract_y
_atom_site_fract_z
_atom_site_occupancy
Tm1 Tm 0.006 0.994 0.750 1
Tm2 Tm 0.150 0.850 0.534 1
Tm3 Tm 0.150 0.850 0.966 1
Tm4 Tm 0.458 0.542 0.598 1
Tm5 Tm 0.458 0.542 0.902 1
Tm6 Tm 0.542 0.458 0.098 1
Tm7 Tm 0.542 0.458 0.402 1
Tm8 Tm 0.850 0.150 0.034 1
Tm9 Tm 0.850 0.150 0.466 1
Tm10 Tm 0.994 0.006 0.250 1
Mg1 Mg 0.287 0.713 0.750 1
Mg2 Mg 0.713 0.287 0.250 1
Cd1 Cd 0.264 0.736 0.151 1
Cd2 Cd 0.264 0.736 0.349 1
Cd3 Cd 0.736 0.264 0.651 1
Cd4 Cd 0.736 0.264 0.849 1

# TmMg2Cd, relaxed, DFT GGA-PBE
# excess energy over the best structure of this formula in the dataset: 0.000 eV/atom
# calculated formation energy: -0.17 eV per atom
# volume: 93.02 Å³/f.u.
data_TmMg2Cd
_cell_length_a 5.076
_cell_length_b 5.076
_cell_length_c 5.076
_cell_angle_alpha 119.62
_cell_angle_beta 119.62
_cell_angle_gamma 90.66
_symmetry_space_group_name_H-M 'P 1'
_symmetry_Int_Tables_number 1
_symmetry_space_group_name_Hall 'P 1'
loop_
_atom_site_label
_atom_site_type_symbol
_atom_site_fract_x
_atom_site_fract_y
_atom_site_fract_z
_atom_site_occupancy
Tm1 Tm 0.000 0.000 0.000 1
Mg1 Mg 0.500 0.500 0.000 1
Mg2 Mg 0.750 0.250 0.500 1
Cd1 Cd 0.250 0.750 0.500 1

# TmMg2Cd5, relaxed, DFT GGA-PBE
# excess energy over the best structure of this formula in the dataset: 0.000 eV/atom
# calculated formation energy: -0.16 eV per atom
# volume: 181.08 Å³/f.u.
data_TmMg2Cd5
_cell_length_a 9.448
_cell_length_b 9.448
_cell_length_c 9.448
_cell_angle_alpha 152.37
_cell_angle_beta 152.37
_cell_angle_gamma 39.48
_symmetry_space_group_name_H-M 'P 1'
_symmetry_Int_Tables_number 1
_symmetry_space_group_name_Hall 'P 1'
loop_
_atom_site_label
_atom_site_type_symbol
_atom_site_fract_x
_atom_site_fract_y
_atom_site_fract_z
_atom_site_occupancy
Tm1 Tm 0.000 0.000 0.000 1
Mg1 Mg 0.246 0.246 0.000 1
Mg2 Mg 0.754 0.754 0.000 1
Cd1 Cd 0.130 0.630 0.500 1
Cd2 Cd 0.370 0.870 0.500 1
Cd3 Cd 0.500 0.500 0.000 1
Cd4 Cd 0.630 0.130 0.500 1
Cd5 Cd 0.870 0.370 0.500 1

# TmMg4Cd2, relaxed, DFT GGA-PBE
# excess energy over the best structure of this formula in the dataset: 0.000 eV/atom
# calculated formation energy: -0.08 eV per atom
# volume: 164.97 Å³/f.u.
data_TmMg4Cd2
_cell_length_a 8.387
_cell_length_b 8.387
_cell_length_c 4.691
_cell_angle_alpha 90.00
_cell_angle_beta 90.00
_cell_angle_gamma 90.00
_symmetry_space_group_name_H-M 'P 1'
_symmetry_Int_Tables_number 1
_symmetry_space_group_name_Hall 'P 1'
loop_
_atom_site_label
_atom_site_type_symbol
_atom_site_fract_x
_atom_site_fract_y
_atom_site_fract_z
_atom_site_occupancy
Tm1 Tm 0.000 0.000 0.000 1
Tm2 Tm 0.500 0.500 0.500 1
Mg1 Mg 0.104 0.352 0.500 1
Mg2 Mg 0.148 0.604 0.000 1
Mg3 Mg 0.352 0.104 0.500 1
Mg4 Mg 0.396 0.852 0.000 1
Mg5 Mg 0.604 0.148 0.000 1
Mg6 Mg 0.648 0.896 0.500 1
Mg7 Mg 0.852 0.396 0.000 1
Mg8 Mg 0.896 0.648 0.500 1
Cd1 Cd 0.202 0.798 0.500 1
Cd2 Cd 0.298 0.298 0.000 1
Cd3 Cd 0.702 0.702 0.000 1
Cd4 Cd 0.798 0.202 0.500 1

# Tm3Mg2Cd7, relaxed, DFT GGA-PBE
# excess energy over the best structure of this formula in the dataset: 0.031 eV/atom
# calculated formation energy: -0.10 eV per atom
# volume: 297.09 Å³/f.u.
data_Tm3Mg2Cd7
_cell_length_a 5.150
_cell_length_b 4.666
_cell_length_c 12.363
_cell_angle_alpha 90.00
_cell_angle_beta 90.05
_cell_angle_gamma 90.00
_symmetry_space_group_name_H-M 'P 1'
_symmetry_Int_Tables_number 1
_symmetry_space_group_name_Hall 'P 1'
loop_
_atom_site_label
_atom_site_type_symbol
_atom_site_fract_x
_atom_site_fract_y
_atom_site_fract_z
_atom_site_occupancy
Tm1 Tm 0.000 0.000 0.000 1
Tm2 Tm 0.499 0.500 0.670 1
Tm3 Tm 0.501 0.500 0.330 1
Mg1 Mg 0.001 0.000 0.290 1
Mg2 Mg 0.999 0.000 0.710 1
Cd1 Cd 0.000 0.500 0.160 1
Cd2 Cd 0.000 0.500 0.840 1
Cd3 Cd 0.250 0.000 0.500 1
Cd4 Cd 0.499 0.000 0.844 1
Cd5 Cd 0.500 0.500 0.000 1
Cd6 Cd 0.501 0.000 0.156 1
Cd7 Cd 0.750 0.000 0.500 1